# 1
Material: ZnGaFe2
Method: DFT, GGA-PBE
State: optimized geometry

abc: 3.089 3.089 5.330
angles: 90.00 90.00 90.00
Fractional coordinates of all 4 atoms:
1 Zn 0.500 0.500 0.500
2 Fe 0.000 0.000 0.758
3 Fe 0.000 0.000 0.242
4 Ga 0.500 0.500 0.000


# 2
Material: ZnGaFe4
Method: DFT, GGA-PBE
State: optimized geometry

abc: 4.550 5.113 6.378
angles: 90.00 92.35 90.00
Fractional coordinates of all 12 atoms:
1 Zn 0.500 0.500 0.000
2 Zn 0.500 0.000 0.000
3 Ga 0.676 0.250 0.653
4 Ga 0.324 0.750 0.347
5 Fe 0.172 0.002 0.667
6 Fe 0.828 0.502 0.333
7 Fe 0.828 0.998 0.333
8 Fe 0.172 0.498 0.667
9 Fe 0.678 0.750 0.673
10 Fe 0.322 0.250 0.327
11 Fe 0.003 0.750 0.994
12 Fe 0.997 0.250 0.006

## Properties
Energy above the most stable polymorph in this dataset in meV/atom: 43.2


# 3
Material: Zn2GaFe
Method: DFT, GGA-PBE
State: optimized geometry

abc: 2.638 4.193 5.966
angles: 111.08 102.77 90.00
Fractional coordinates of all 4 atoms:
1 Zn 0.049 0.050 0.099
2 Zn 0.451 0.450 0.901
3 Ga 0.250 0.750 0.500
4 Fe 0.750 0.250 0.500


# 4
Material: ZnGaFe14
Method: DFT, GGA-PBE
State: optimized geometry

abc: 4.974 4.974 8.040
angles: 90.00 90.00 108.16
Fractional coordinates of all 16 atoms:
1 Zn 0.625 0.375 0.500
2 Ga 0.125 0.875 0.500
3 Fe 0.125 0.875 0.000
4 Fe 0.625 0.375 0.000
5 Fe 0.125 0.375 0.500
6 Fe 0.125 0.375 0.000
7 Fe 0.625 0.875 0.500
8 Fe 0.625 0.875 0.000
9 Fe 0.376 0.125 0.756
10 Fe 0.376 0.125 0.244
11 Fe 0.875 0.624 0.756
12 Fe 0.875 0.624 0.244
13 Fe 0.375 0.625 0.748
14 Fe 0.375 0.625 0.252
15 Fe 0.876 0.124 0.748
16 Fe 0.876 0.124 0.252


# 5
Material: Zn2GaFe2
Method: DFT, GGA-PBE
State: optimized geometry

abc: 6.010 6.010 3.811
angles: 90.00 90.00 90.00
Fractional coordinates of all 10 atoms:
1 Zn 0.164 0.664 0.500
2 Zn 0.664 0.836 0.500
3 Zn 0.836 0.336 0.500
4 Zn 0.336 0.164 0.500
5 Fe 0.369 0.869 0.000
6 Fe 0.869 0.631 0.000
7 Fe 0.631 0.131 0.000
8 Fe 0.131 0.369 0.000
9 Ga 0.000 0.000 0.000
10 Ga 0.500 0.500 0.000

## Properties
Energy above the most stable polymorph in this dataset in meV/atom: 0.0


# 6
Material: ZrGa3Fe
Method: DFT, GGA-PBE
State: optimized geometry

abc: 4.408 4.408 4.408
angles: 90.00 90.00 90.00
Fractional coordinates of all 5 atoms:
1 Ga 0.000 0.500 0.000
2 Ga 0.000 0.000 0.500
3 Ga 0.500 0.000 0.000
4 Zr 0.500 0.500 0.500
5 Fe 0.000 0.000 0.000

## Properties
Energy above the most stable polymorph in this dataset in meV/atom: 243.0


# 7
Material: Zr3GaFe
Method: DFT, GGA-PBE
State: optimized geometry

abc: 4.949 4.949 4.949
angles: 90.00 90.00 90.00
Fractional coordinates of all 5 atoms:
1 Ga 0.500 0.500 0.500
2 Zr 0.000 0.500 0.000
3 Zr 0.000 0.000 0.500
4 Zr 0.500 0.000 0.000
5 Fe 0.000 0.000 0.000


# 8
Material: ZrGaFe
Method: DFT, GGA-PBE
State: optimized geometry

abc: 5.086 5.083 5.083
angles: 62.11 59.99 59.99
Fractional coordinates of all 6 atoms:
1 Zr 0.885 0.365 0.365
2 Zr 0.115 0.635 0.635
3 Ga 0.500 0.500 0.000
4 Ga 0.500 0.000 0.500
5 Fe 0.000 0.000 0.000
6 Fe 0.500 0.000 0.000


no.,ΔH_f (0 K) (eV per atom),raw total energy (hartree per atom)
1,0.02,-0.19414
2,-0.02,-0.23438
3,-0.01,-0.12924
4,-0.01,-0.28225
5,0.08,-0.16237
6,0.06,-0.18970
7,0.20,-0.26559
8,-0.41,-0.26069